Zr2Fe3Co: optimized geometry, GGA-PBE.

a b c (Å): 4.938 4.938 4.985
angles (deg): 89.99 119.72 119.99
Last column: magnetic moment on the atom in μB.
Fractional coordinates of all 6 atoms:
Zr 0.750 0.375 0.125  -0.45
Zr 0.250 0.625 0.875  -0.45
Fe 0.500 0.500 0.500  1.88
Fe 0.000 0.000 0.500  1.88
Fe 0.500 0.000 0.500  1.88
Co 0.000 0.000 0.000  1.01

Values from the calculation:
**E_tot**: -8.54 eV per atom
**Formation enthalpy at 0 K**: -1.6 eV/f.u.
**DOS(E_F)**: 1.08 states/eV per atom
**Space group**: R-3m